First-principles (PBE) data for a relaxed Rb2SiSeF crystal, as listed in Alexandria via LeMat-Bulk.

Summary:
Uncorrected formation energy = -778 meV per atom
Mass density = 3.5 g/cm³
Total magnetization = 1.00 μB/cell

Unit cell a=5.587 b=5.587 c=4.533 alpha=90.00 beta=90.00 gamma=90.00
Atoms (fractional coordinates):
Rb 0.000 0.500 0.000
Rb 0.500 0.000 0.000
Si 0.000 0.000 0.500
Se 0.500 0.500 0.500
F 0.000 0.000 0.000